--- w ---
TeW: relaxed, PBE-GGA.

## Properties
symmetry = No. 59

Unit cell a=3.500 b=4.253 c=7.063 alpha=90.00 beta=90.00 gamma=90.00
Fractional coordinates of all 4 atoms:
Te1 0.250 0.250 0.220
Te2 0.750 0.750 0.780
W1 0.250 0.750 0.484
W2 0.750 0.250 0.516


--- x ---
TeW: relaxed, PBE-GGA.

## Properties
symmetry = No. 176

Unit cell a=10.156 b=10.156 c=3.681 alpha=90.00 beta=90.00 gamma=120.00
Fractional coordinates of all 12 atoms:
Te1 0.083 0.335 0.250
Te2 0.253 0.917 0.250
Te3 0.335 0.253 0.750
Te4 0.665 0.747 0.250
Te5 0.747 0.083 0.750
Te6 0.917 0.665 0.750
W1 0.079 0.598 0.250
W2 0.402 0.481 0.250
W3 0.481 0.079 0.750
W4 0.519 0.921 0.250
W5 0.598 0.519 0.750
W6 0.921 0.402 0.750


--- y ---
TeW: relaxed, PBE-GGA.

## Properties
symmetry = No. 221

Unit cell a=3.337 b=3.337 c=3.337 alpha=90.00 beta=90.00 gamma=90.00
Fractional coordinates of all 2 atoms:
Te1 0.000 0.000 0.000
W1 0.500 0.500 0.500


Looking at the structures above, which would you pick as the most stable? I would pick w.